1.
TlSb2P | PBE | optimized geometry

Values from the calculation:
The uncorrected energy is -3.5664 eV/atom. The calculation puts the uncorrected formation energy at 0.44 eV per atom. The space group is P4/mmm, No. 123.

```
data_TlSb2P
_cell_length_a 4.650
_cell_length_b 4.650
_cell_length_c 4.730
_cell_angle_alpha 90.00
_cell_angle_beta 90.00
_cell_angle_gamma 90.00
_symmetry_space_group_name_H-M 'P 1'
_symmetry_Int_Tables_number 1
loop_
_symmetry_equiv_pos_as_xyz
'x,y,z'
loop_
_atom_site_label
_atom_site_type_symbol
_atom_site_fract_x
_atom_site_fract_y
_atom_site_fract_z
Tl1 Tl 0.000 0.000 0.000
Sb1 Sb 0.000 0.500 0.500
Sb2 Sb 0.500 0.000 0.500
P1 P 0.500 0.500 0.000
```

---

2.
TlSb2P | PBE | optimized geometry

Values from the calculation:
The uncorrected energy is -3.7869 eV/atom. The calculation puts the uncorrected formation energy at 0.22 eV per atom. The space group is Pmm2, No. 25.

```
data_TlSb2P
_cell_length_a 3.883
_cell_length_b 4.149
_cell_length_c 7.056
_cell_angle_alpha 90.00
_cell_angle_beta 90.00
_cell_angle_gamma 90.00
_symmetry_space_group_name_H-M 'P 1'
_symmetry_Int_Tables_number 1
loop_
_symmetry_equiv_pos_as_xyz
'x,y,z'
loop_
_atom_site_label
_atom_site_type_symbol
_atom_site_fract_x
_atom_site_fract_y
_atom_site_fract_z
Tl1 Tl 0.000 0.000 0.000
Sb1 Sb 0.000 0.000 0.530
Sb2 Sb 0.500 0.500 0.225
P1 P 0.500 0.500 0.586
```

---

3.
TlSbP4 | PBE | optimized geometry

Values from the calculation:
The uncorrected energy is -4.3021 eV/atom. The calculation puts the uncorrected formation energy at 0.39 eV per atom. The space group is F-43m, No. 216.

```
data_TlSbP4
_cell_length_a 5.954
_cell_length_b 5.954
_cell_length_c 5.954
_cell_angle_alpha 60.00
_cell_angle_beta 60.00
_cell_angle_gamma 60.00
_symmetry_space_group_name_H-M 'P 1'
_symmetry_Int_Tables_number 1
loop_
_symmetry_equiv_pos_as_xyz
'x,y,z'
loop_
_atom_site_label
_atom_site_type_symbol
_atom_site_fract_x
_atom_site_fract_y
_atom_site_fract_z
Tl1 Tl 0.000 0.000 0.000
Sb1 Sb 0.250 0.250 0.250
P1 P 0.218 0.594 0.594
P2 P 0.594 0.218 0.594
P3 P 0.594 0.594 0.218
P4 P 0.594 0.594 0.594
```

---

4.
TlSbP2 | PBE | optimized geometry

Values from the calculation:
The uncorrected energy is -4.0385 eV/atom. The calculation puts the uncorrected formation energy at 0.29 eV per atom. The space group is Pm, No. 6.

```
data_TlSbP2
_cell_length_a 3.939
_cell_length_b 4.467
_cell_length_c 5.833
_cell_angle_alpha 90.00
_cell_angle_beta 98.97
_cell_angle_gamma 90.00
_symmetry_space_group_name_H-M 'P 1'
_symmetry_Int_Tables_number 1
loop_
_symmetry_equiv_pos_as_xyz
'x,y,z'
loop_
_atom_site_label
_atom_site_type_symbol
_atom_site_fract_x
_atom_site_fract_y
_atom_site_fract_z
Tl1 Tl 0.000 0.000 0.000
Sb1 Sb 0.346 0.500 0.663
P1 P 0.558 0.000 0.404
P2 P 0.780 0.500 0.365
```

---

5.
TlSb2P | PBE | optimized geometry

Values from the calculation:
The uncorrected energy is -3.8597 eV/atom. The calculation puts the uncorrected formation energy at 0.15 eV per atom. The space group is R3m, No. 160.

```
data_TlSb2P
_cell_length_a 9.448
_cell_length_b 9.448
_cell_length_c 9.448
_cell_angle_alpha 22.42
_cell_angle_beta 22.42
_cell_angle_gamma 22.42
_symmetry_space_group_name_H-M 'P 1'
_symmetry_Int_Tables_number 1
loop_
_symmetry_equiv_pos_as_xyz
'x,y,z'
loop_
_atom_site_label
_atom_site_type_symbol
_atom_site_fract_x
_atom_site_fract_y
_atom_site_fract_z
Tl1 Tl 0.000 0.000 0.000
Sb1 Sb 0.561 0.561 0.561
Sb2 Sb 0.767 0.767 0.767
P1 P 0.165 0.165 0.165
```

---

6.
Tl3SbP | PBE | optimized geometry

Values from the calculation:
The uncorrected energy is -2.5514 eV/atom. The calculation puts the uncorrected formation energy at 0.77 eV per atom. The space group is Pm-3m, No. 221.

```
data_Tl3SbP
_cell_length_a 5.797
_cell_length_b 5.797
_cell_length_c 5.797
_cell_angle_alpha 90.00
_cell_angle_beta 90.00
_cell_angle_gamma 90.00
_symmetry_space_group_name_H-M 'P 1'
_symmetry_Int_Tables_number 1
loop_
_symmetry_equiv_pos_as_xyz
'x,y,z'
loop_
_atom_site_label
_atom_site_type_symbol
_atom_site_fract_x
_atom_site_fract_y
_atom_site_fract_z
Tl1 Tl 0.000 0.000 0.500
Tl2 Tl 0.000 0.500 0.000
Tl3 Tl 0.500 0.000 0.000
Sb1 Sb 0.000 0.000 0.000
P1 P 0.500 0.500 0.500
```